Record 1
# CaInHg4 | Alexandria via LeMat-Bulk | PBE | optimized geometry
data_CaInHg4
_chemical_formula_sum 'Ca4 In4 Hg16'
_cell_length_a 8.624
_cell_length_b 8.624
_cell_length_c 8.624
_cell_angle_alpha 90.00
_cell_angle_beta 90.00
_cell_angle_gamma 90.00
_space_group_name_H-M_alt 'F -4 3 m'
_space_group_IT_number 216
_space_group_name_Hall 'F -4 2 3'
loop_
_atom_site_label
_atom_site_type_symbol
_atom_site_fract_x
_atom_site_fract_y
_atom_site_fract_z
Ca1 Ca 0.000 0.000 0.000
In1 In 0.250 0.250 0.250
Hg1 Hg 0.125 0.125 0.625
# Energy above the lowest structure with this stoichiometry (eV/f.u.): 0.592
# Energy relative to the elements (eV per atom): -0.15
# Spin magnetization (μB per cell): 0.00

---

Record 2
# CaIn2Hg | Alexandria via LeMat-Bulk | PBE | optimized geometry
data_CaIn2Hg
_chemical_formula_sum 'Ca1 In2 Hg1'
_cell_length_a 3.697
_cell_length_b 3.928
_cell_length_c 7.371
_cell_angle_alpha 90.00
_cell_angle_beta 90.00
_cell_angle_gamma 90.00
_space_group_name_H-M_alt 'P m m 2'
_space_group_IT_number 25
loop_
_space_group_symop_operation_xyz
'x,y,z'
'-x,-y,z'
'-x,y,z'
'x,-y,z'
loop_
_atom_site_label
_atom_site_type_symbol
_atom_site_fract_x
_atom_site_fract_y
_atom_site_fract_z
Ca1 Ca 0.000 0.000 0.000
In1 In 0.000 0.000 0.485
In2 In 0.500 0.500 0.717
Hg1 Hg 0.500 0.500 0.248
# Energy relative to the elements (eV per atom): -0.28
# Spin magnetization (μB per cell): 0.00

---

Record 3
# CaIn4Hg4 | Alexandria via LeMat-Bulk | PBE | optimized geometry
data_CaIn4Hg4
_chemical_formula_sum 'Ca2 In8 Hg8'
_cell_length_a 6.755
_cell_length_b 6.755
_cell_length_c 11.154
_cell_angle_alpha 90.00
_cell_angle_beta 90.00
_cell_angle_gamma 90.00
_space_group_name_H-M_alt 'P 42/n m c'
_space_group_IT_number 137
loop_
_space_group_symop_operation_xyz
'x,y,z'
'-x,-y,-z'
'-y+1/2,x,z+1/2'
'y+1/2,-x,-z+1/2'
'-x+1/2,-y+1/2,z'
'x+1/2,y+1/2,-z'
'y,-x+1/2,z+1/2'
'-y,x+1/2,-z+1/2'
'x+1/2,-y,-z'
'-x+1/2,y,z'
'-y,-x,-z+1/2'
'y,x,z+1/2'
'-x,y+1/2,-z'
'x,-y+1/2,z'
'y+1/2,x+1/2,-z+1/2'
'-y+1/2,-x+1/2,z+1/2'
loop_
_atom_site_label
_atom_site_type_symbol
_atom_site_fract_x
_atom_site_fract_y
_atom_site_fract_z
Ca1 Ca 0.250 0.750 0.250
In1 In 0.035 0.250 0.193
Hg1 Hg 0.011 0.750 0.510
# Energy above the lowest structure with this stoichiometry (eV/f.u.): 0.618
# Energy relative to the elements (eV per atom): -0.07
# Spin magnetization (μB per cell): 0.00